VASP calculation (PBE) on crystalline TaPd at its relaxed geometry.

Cell: 3.7595 3.7595 3.7595 Å, 60.00 60.00 60.00°
Element x y z (fractional)
Ta 0.0000 0.0000 0.0000
Pd 0.5000 0.5000 0.5000

Total magnetization ... 0.00 μB/f.u.
E_form ... 0.48 eV/atom
Fermi-level density of states ... 3.13 states/eV/cell